Computed, not measured: an optimized crystal structure of CsCoP2Cl at the PBEsol level of DFT.

Properties
- Formation energy (no corrections): 198.19 kJ per mole of atoms
- Theoretical density: 2.819 g cm⁻³
- Uncorrected energy: -2.400 eV/atom

abc: 5.4039 5.4039 5.8353
angles: 90.00 90.00 90.00
Fractional positions:
Cs 0.0000 0.0000 0.0000
P 0.0000 0.5000 0.0000
P 0.5000 0.0000 0.0000
Co 0.5000 0.5000 0.5000
Cl 0.0000 0.0000 0.5000

Computed, not measured: an optimized crystal structure of Ta3AgH at the PBEsol level of DFT.

Properties
- Theoretical density: 15.277 g cm⁻³
- Uncorrected energy: -8.731 eV/atom

abc: 4.1376 4.1376 4.1376
angles: 90.00 90.00 90.00
Fractional positions:
H 0.0000 0.0000 0.0000
Ag 0.5000 0.5000 0.5000
Ta 0.0000 0.5000 0.0000
Ta 0.0000 0.0000 0.5000
Ta 0.5000 0.0000 0.0000

Computed, not measured: an optimized crystal structure of Zr2AlAu2 at the PBEsol level of DFT.

Properties
- Theoretical density: 10.421 g cm⁻³
- Uncorrected energy: -6.570 eV/atom
- ΔE_f: -0.546 eV per atom

abc: 3.9492 6.9779 6.9779
angles: 90.00 90.00 90.00
Fractional positions:
Au 0.0000 0.3620 0.8620
Au 0.0000 0.8620 0.6380
Au 0.0000 0.6380 0.1380
Au 0.0000 0.1380 0.3620
Al 0.0000 0.0000 0.0000
Al 0.0000 0.5000 0.5000
Zr 0.5000 0.1687 0.6687
Zr 0.5000 0.6687 0.8313
Zr 0.5000 0.8313 0.3313
Zr 0.5000 0.3313 0.1687

Computed, not measured: an optimized crystal structure of NiIrPt2 at the PBEsol level of DFT.

Properties
- Theoretical density: 19.369 g cm⁻³
- Uncorrected energy: -7.464 eV/atom
- ΔE_f: 0.013 eV per atom

abc: 2.7077 4.6402 4.6567
angles: 100.38 90.00 106.96
Fractional positions:
Ni 0.7543 0.5086 0.2520
Ir 0.4934 0.9868 0.4971
Pt 0.0057 0.0114 0.0112
Pt 0.2466 0.4932 0.7397

Computed, not measured: an optimized crystal structure of TlReRh2 at the PBEsol level of DFT.

Properties
- Theoretical density: 15.766 g cm⁻³
- Uncorrected energy: -7.635 eV/atom
- ΔE_f: 0.425 eV per atom

abc: 2.8426 2.8426 9.1252
angles: 81.04 81.04 60.00
Fractional positions:
Re 0.2573 0.2573 0.2282
Rh 0.9986 0.9986 0.0043
Rh 0.7463 0.7463 0.7610
Tl 0.4978 0.4978 0.5065

Computed, not measured: an optimized crystal structure of GaSn3 at the PBEsol level of DFT.

Properties
- Theoretical density: 7.231 g cm⁻³
- Uncorrected energy: -3.990 eV/atom
- ΔE_f: 0.040 eV per atom

abc: 4.5258 4.5258 5.7480
angles: 113.18 113.18 90.00
Fractional positions:
Sn 0.2500 0.7500 0.5000
Sn 0.7500 0.2500 0.5000
Sn 0.5000 0.5000 0.0000
Ga 0.0000 0.0000 0.0000

Computed, not measured: an optimized crystal structure of InRePt2 at the PBEsol level of DFT.

Properties
- Theoretical density: 18.055 g cm⁻³
- Uncorrected energy: -7.577 eV/atom
- ΔE_f: -0.016 eV per atom

abc: 2.8026 4.7910 5.0275
angles: 99.57 90.00 107.01
Fractional positions:
In 0.2474 0.4947 0.7667
Pt 0.9973 0.9945 0.9959
Pt 0.7554 0.5109 0.2756
Re 0.4999 0.9999 0.4618

Computed, not measured: an optimized crystal structure of TaCdAu2 at the PBEsol level of DFT.

Properties
- Theoretical density: 16.260 g cm⁻³
- Uncorrected energy: -5.547 eV/atom
- ΔE_f: -0.148 eV per atom

abc: 2.9419 2.9419 8.1100
angles: 90.00 90.00 90.00
Fractional positions:
Ta 0.5000 0.5000 0.5000
Au 0.0000 0.0000 0.7380
Au 0.0000 0.0000 0.2620
Cd 0.5000 0.5000 0.0000

Computed, not measured: an optimized crystal structure of ScPt2F at the PBEsol level of DFT.

Properties
- Formation energy (no corrections): -68.19 kJ per mole of atoms
- Theoretical density: 12.681 g cm⁻³
- Uncorrected energy: -6.322 eV/atom

abc: 4.3812 4.3812 4.3812
angles: 60.00 60.00 60.00
Fractional positions:
Sc 0.5000 0.5000 0.5000
Pt 0.2500 0.2500 0.2500
Pt 0.7500 0.7500 0.7500
F 0.0000 0.0000 0.0000

Computed, not measured: an optimized crystal structure of BaLi2P2O7 at the PBEsol level of DFT.

Properties
- Formation energy (no corrections): -248.47 kJ per mole of atoms
- Theoretical density: 3.643 g cm⁻³
- Uncorrected energy: -7.109 eV/atom

abc: 7.0132 7.0132 13.8427
angles: 90.40 90.40 119.45
Fractional positions:
Ba 0.3449 0.2902 0.8792
Ba 0.7098 0.6551 0.6208
Ba 0.6551 0.7098 0.1208
Ba 0.2902 0.3449 0.3792
Li 0.7305 0.2695 0.7500
Li 0.2695 0.7305 0.2500
Li 0.7352 0.2648 0.2500
Li 0.2648 0.7352 0.7500
Li 0.7716 0.3040 0.0096
Li 0.6960 0.2284 0.4904
Li 0.2284 0.6960 0.9904
Li 0.3040 0.7716 0.5096
O 0.1732 0.8244 0.8654
O 0.1756 0.8268 0.6346
O 0.8268 0.1756 0.1346
O 0.8244 0.1732 0.3654
O 0.8659 0.6150 0.9805
O 0.3850 0.1341 0.5195
O 0.1341 0.3850 0.0195
O 0.6150 0.8659 0.4805
O 0.7816 0.5625 0.8007
O 0.4375 0.2184 0.6993
O 0.2184 0.4375 0.1993
O 0.5625 0.7816 0.3007
O 0.8923 0.9338 0.8785
O 0.0662 0.1077 0.6215
O 0.1077 0.0662 0.1215
O 0.9338 0.8923 0.3785
O 0.6851 0.1416 0.8876
O 0.8584 0.3149 0.6124
O 0.3149 0.8584 0.1124
O 0.1416 0.6851 0.3876
O 0.5073 0.7349 0.9366
O 0.2651 0.4927 0.5634
O 0.4927 0.2651 0.0634
O 0.7349 0.5073 0.4366
O 0.5811 0.8514 0.7594
O 0.1485 0.4189 0.7406
O 0.4189 0.1485 0.2406
O 0.8514 0.5811 0.2594
P 0.9266 0.7176 0.8808
P 0.2824 0.0734 0.6192
P 0.0734 0.2824 0.1192
P 0.7176 0.9266 0.3808
P 0.6491 0.9131 0.8650
P 0.0869 0.3509 0.6350
P 0.3509 0.0869 0.1350
P 0.9131 0.6491 0.3650

Computed, not measured: an optimized crystal structure of KAg5 at the PBEsol level of DFT.

Properties
- Theoretical density: 8.057 g cm⁻³
- Uncorrected energy: -2.834 eV/atom
- ΔE_f: 0.114 eV per atom

abc: 5.5243 5.5243 5.5243
angles: 60.00 60.00 60.00
Fractional positions:
K 0.0000 0.0000 0.0000
Ag 0.2500 0.2500 0.2500
Ag 0.6244 0.1268 0.6244
Ag 0.6244 0.6244 0.1268
Ag 0.6244 0.6244 0.6244
Ag 0.1268 0.6244 0.6244

Computed, not measured: an optimized crystal structure of Sc2BeZn at the PBEsol level of DFT.

Properties
- Theoretical density: 4.049 g cm⁻³
- Uncorrected energy: -4.731 eV/atom
- ΔE_f: -0.033 eV per atom

abc: 2.9715 2.9715 7.6323
angles: 90.00 90.00 90.00
Fractional positions:
Sc 0.0000 0.0000 0.9519
Sc 0.5000 0.5000 0.2863
Be 0.5000 0.5000 0.7099
Zn 0.0000 0.0000 0.5520

Computed, not measured: an optimized crystal structure of OsBr2Cl at the PBEsol level of DFT.

Properties
- Formation energy (no corrections): 59.26 kJ per mole of atoms
- Theoretical density: 7.669 g cm⁻³
- Uncorrected energy: -3.877 eV/atom

abc: 3.0058 3.2525 9.6269
angles: 90.00 90.00 117.52
Fractional positions:
Os 0.5000 0.0000 0.0000
Br 0.0000 0.0000 0.7945
Br 0.0000 0.0000 0.2055
Cl 0.5000 0.0000 0.5000

Computed, not measured: an optimized crystal structure of Sc3NbPt at the PBEsol level of DFT.

Properties
- Theoretical density: 6.302 g cm⁻³
- Uncorrected energy: -6.877 eV/atom
- ΔE_f: 0.643 eV per atom

abc: 4.8120 4.8120 4.8120
angles: 90.00 90.00 90.00
Fractional positions:
Sc 0.0000 0.5000 0.0000
Sc 0.0000 0.0000 0.5000
Sc 0.5000 0.0000 0.0000
Nb 0.0000 0.0000 0.0000
Pt 0.5000 0.5000 0.5000

Computed, not measured: an optimized crystal structure of Eu at the PBEsol level of DFT.

Properties
- Theoretical density: 7.188 g cm⁻³
- Uncorrected energy: -9.358 eV/atom
- ΔE_f: 1.206 eV per atom

abc: 4.6307 4.6307 4.6307
angles: 60.00 60.00 60.00
Fractional positions:
Eu 0.2500 0.2500 0.2500
Eu 0.0000 0.0000 0.0000

Computed, not measured: an optimized crystal structure of SrSiRh3 at the PBEsol level of DFT.

Properties
- Formation energy (no corrections): -27.92 kJ per mole of atoms
- Theoretical density: 7.799 g cm⁻³
- Uncorrected energy: -6.690 eV/atom

abc: 4.4875 4.4875 4.4875
angles: 90.00 90.00 90.00
Fractional positions:
Sr 0.5000 0.5000 0.5000
Si 0.0000 0.0000 0.0000
Rh 0.0000 0.5000 0.0000
Rh 0.0000 0.0000 0.5000
Rh 0.5000 0.0000 0.0000

Computed, not measured: an optimized crystal structure of TaSbW2 at the PBEsol level of DFT.

Properties
- Formation energy (no corrections): 39.61 kJ per mole of atoms
- Theoretical density: 16.213 g cm⁻³
- Uncorrected energy: -10.770 eV/atom

abc: 3.8928 3.8928 5.3016
angles: 111.54 111.54 90.00
Fractional positions:
Sb 0.5000 0.5000 0.0000
Ta 0.0000 0.0000 0.0000
W 0.7500 0.2500 0.5000
W 0.2500 0.7500 0.5000

Computed, not measured: an optimized crystal structure of SnPtBr3 at the PBEsol level of DFT.

Properties
- Formation energy (no corrections): 60.56 kJ per mole of atoms
- Theoretical density: 5.764 g cm⁻³
- Uncorrected energy: -2.739 eV/atom

abc: 5.4226 5.4226 5.4226
angles: 90.00 90.00 90.00
Fractional positions:
Br 0.0000 0.5000 0.0000
Br 0.0000 0.0000 0.5000
Br 0.5000 0.0000 0.0000
Sn 0.0000 0.0000 0.0000
Pt 0.5000 0.5000 0.5000

Computed, not measured: an optimized crystal structure of YFe2TcW at the PBEsol level of DFT.

Properties
- Theoretical density: 8.575 g cm⁻³
- Uncorrected energy: -8.896 eV/atom
- ΔE_f: 1.069 eV per atom

abc: 4.4746 4.4746 4.6663
angles: 90.00 90.00 90.00
Fractional positions:
Y 0.5000 0.5000 0.5000
Tc 0.0000 0.0000 0.0000
W 0.0000 0.0000 0.5000
Fe 0.0000 0.5000 0.0000
Fe 0.5000 0.0000 0.0000

Computed, not measured: an optimized crystal structure of ScTiSN2 at the PBEsol level of DFT.

Properties
- Formation energy (no corrections): -68.43 kJ per mole of atoms
- Theoretical density: 3.612 g cm⁻³
- Uncorrected energy: -7.982 eV/atom

abc: 3.8302 3.8302 4.7917
angles: 90.00 90.00 90.00
Fractional positions:
Sc 0.5000 0.5000 0.5000
S 0.0000 0.0000 0.5000
N 0.0000 0.5000 0.0000
N 0.5000 0.0000 0.0000
Ti 0.0000 0.0000 0.0000

Computed, not measured: an optimized crystal structure of TlCr2Pb at the PBEsol level of DFT.

Properties
- Theoretical density: 10.635 g cm⁻³
- Uncorrected energy: -6.029 eV/atom
- ΔE_f: 0.749 eV per atom

abc: 4.8466 4.8466 4.8466
angles: 60.00 60.00 60.00
Fractional positions:
Cr 0.2500 0.2500 0.2500
Cr 0.7500 0.7500 0.7500
Pb 0.0000 0.0000 0.0000
Tl 0.5000 0.5000 0.5000

Computed, not measured: an optimized crystal structure of MgV2O6 at the PBEsol level of DFT.

Properties
- Formation energy (no corrections): -227.97 kJ per mole of atoms
- Theoretical density: 3.750 g cm⁻³
- Uncorrected energy: -8.194 eV/atom

abc: 4.7901 5.1534 7.9720
angles: 90.26 90.00 90.00
Fractional positions:
Mg 0.5742 0.2966 0.2519
Mg 0.0742 0.7034 0.7481
V 0.4775 0.7589 0.4464
V 0.9775 0.2411 0.5536
V 0.0477 0.2401 0.0201
V 0.5477 0.7599 0.9799
O 0.7021 0.0394 0.0671
O 0.2021 0.9606 0.9329
O 0.7403 0.5228 0.4467
O 0.2403 0.4772 0.5533
O 0.2540 0.4867 0.9341
O 0.7540 0.5133 0.0659
O 0.1870 0.9547 0.5632
O 0.6870 0.0453 0.4368
O 0.1611 0.2354 0.2166
O 0.6611 0.7646 0.7834
O 0.3673 0.7313 0.2534
O 0.8673 0.2687 0.7466

Computed, not measured: an optimized crystal structure of Bi2SO2 at the PBEsol level of DFT.

Properties
- Formation energy (no corrections): -98.47 kJ per mole of atoms
- Theoretical density: 9.227 g cm⁻³
- Uncorrected energy: -5.711 eV/atom

abc: 3.8181 3.8197 11.8959
angles: 90.00 90.00 90.00
Fractional positions:
S 0.0000 0.0000 0.0000
S 0.5000 0.5000 0.5000
Bi 0.5000 0.4791 0.8581
Bi 0.5000 0.5209 0.1419
Bi 0.0000 0.9791 0.6419
Bi 0.0000 0.0209 0.3581
O 0.0000 0.4840 0.7499
O 0.0000 0.5160 0.2501
O 0.5000 0.9840 0.7501
O 0.5000 0.0160 0.2499

Computed, not measured: an optimized crystal structure of NaPdN at the PBEsol level of DFT.

Properties
- Formation energy (no corrections): 24.06 kJ per mole of atoms
- Theoretical density: 4.030 g cm⁻³
- Uncorrected energy: -5.046 eV/atom

abc: 3.6681 4.3130 4.3130
angles: 120.00 90.00 90.00
Fractional positions:
Na 0.5000 0.3333 0.6667
Pd 0.0000 0.6667 0.3333
N 0.5000 0.6667 0.3333

Computed, not measured: an optimized crystal structure of BeSn3Pd at the PBEsol level of DFT.

Properties
- Theoretical density: 5.887 g cm⁻³
- Uncorrected energy: -3.973 eV/atom
- ΔE_f: 0.574 eV per atom

abc: 5.1047 5.1047 5.1047
angles: 90.00 90.00 90.00
Fractional positions:
Be 0.5000 0.5000 0.5000
Sn 0.0000 0.5000 0.0000
Sn 0.0000 0.0000 0.5000
Sn 0.5000 0.0000 0.0000
Pd 0.0000 0.0000 0.0000

Computed, not measured: an optimized crystal structure of Ba2ScCdF at the PBEsol level of DFT.

Properties
- Formation energy (no corrections): -62.36 kJ per mole of atoms
- Theoretical density: 4.193 g cm⁻³
- Uncorrected energy: -3.452 eV/atom

abc: 3.9897 6.6910 6.6910
angles: 90.00 90.00 90.00
Fractional positions:
Sc 0.0000 0.0000 0.0000
F 0.5000 0.0000 0.0000
Ba 0.0000 0.0000 0.5000
Ba 0.0000 0.5000 0.0000
Cd 0.5000 0.5000 0.5000